TmThNi3 after structural relaxation. Source: the Alexandria database, functional PBE.

Structure (POSCAR):
```
TmThNi3
1.0
3.7964 0.0000 -0.5227
0.0000 3.9441 0.0000
-0.2052 0.0000 12.5576
Ni Th Tm
6 2 2
direct
0.6231 0.7500 0.2463
0.5271 0.7500 0.0543
0.6786 0.2500 0.3573
0.3214 0.7500 0.6427
0.3769 0.2500 0.7537
0.4729 0.2500 0.9457
0.0726 0.2500 0.1451
0.9274 0.7500 0.8549
0.7946 0.2500 0.5893
0.2054 0.7500 0.4107
```

The value obtained for the relative energy among the computed polymorphs is 0 meV per atom. Its density of states at the Fermi level is 8.38 states/eV per cell. Its total energy is -0.464 Ry/atom. For the formation energy, the calculation gives -2.305 eV/f.u.